# 1
Cs2RbPbBr6 | PBE | relaxed

Output
* SG: Fm-3m (225)
* calculated density: 3.7 Mg/m³
* ΔE to the lowest computed polymorph: 22 meV/atom
* ΔE_f (raw): -1.2927 eV per atom

a b c (Å): 8.6744 8.6744 8.6744
angles (deg): 60.00 60.00 60.00
Closest atoms and distances in Å follow each position.
Atoms (fractional coordinates):
Cs 0.2500 0.2500 0.2500  12 Br 4.34
Cs 0.7500 0.7500 0.7500  12 Br 4.34
Rb 0.0000 0.0000 0.0000  6 Br 3.26
Pb 0.5000 0.5000 0.5000  6 Br 2.87
Br 0.2658 0.2658 0.7342  1 Pb 2.87
Br 0.2658 0.7342 0.2658  1 Pb 2.87
Br 0.2658 0.7342 0.7342  1 Pb 2.87
Br 0.7342 0.2658 0.2658  1 Pb 2.87
Br 0.7342 0.2658 0.7342  1 Pb 2.87
Br 0.7342 0.7342 0.2658  1 Pb 2.87



# 2
Cs3RbPb2Br9 | PBE | relaxed

Output
* SG: P-3m1 (164)
* calculated density: 3.9 Mg/m³
* ΔE_f (raw): -1.3059 eV per atom

a b c (Å): 8.2776 8.2776 11.6501
angles (deg): 90.00 90.00 120.00
Closest atoms and distances in Å follow each position.
Atoms (fractional coordinates):
Cs 0.0000 0.0000 0.0000  12 Br 4.12-4.14
Cs 0.3333 0.6667 0.7436  9 Br 3.83-4.16
Cs 0.6667 0.3333 0.2564  9 Br 3.83-4.16
Rb 0.0000 0.0000 0.5000  6 Br 3.39
Pb 0.3333 0.6667 0.1617  6 Br 2.85-3.04
Pb 0.6667 0.3333 0.8383  6 Br 2.85-3.04
Br 0.0000 0.5000 0.0000  2 Pb 3.04
Br 0.1642 0.3284 0.2905  1 Pb 2.85
Br 0.1642 0.8358 0.2905  1 Pb 2.85
Br 0.3284 0.1642 0.7095  1 Pb 2.85
Br 0.5000 0.0000 0.0000  2 Pb 3.04
Br 0.5000 0.5000 0.0000  2 Pb 3.04
Br 0.6716 0.8358 0.2905  1 Pb 2.85
Br 0.8358 0.1642 0.7095  1 Pb 2.85
Br 0.8358 0.6716 0.7095  1 Pb 2.85



# 3
CsRb2Pb2Br7 | PBE | relaxed

Output
* SG: C2/m (12)
* calculated density: 4.0 Mg/m³
* ΔE_f (raw): -1.3431 eV per atom

a b c (Å): 5.9930 5.9930 15.2336
angles (deg): 101.12 101.12 89.91
Closest atoms and distances in Å follow each position.
Atoms (fractional coordinates):
Cs 0.0000 0.0000 0.0000  12 Br 4.14-4.31
Rb 0.1392 0.1392 0.3600  4 Br 3.39-3.77
Rb 0.8608 0.8608 0.6400  4 Br 3.39-3.77
Pb 0.4030 0.4030 0.7906  6 Br 2.94-3.07
Pb 0.5970 0.5970 0.2094  6 Br 2.94-3.07
Br 0.0934 0.5795 0.2031  2 Pb 3.00
Br 0.2727 0.2727 0.5908  1 Pb 2.94
Br 0.4205 0.9066 0.7969  2 Pb 3.00
Br 0.5000 0.5000 0.0000  2 Pb 3.07
Br 0.5795 0.0934 0.2031  2 Pb 3.00
Br 0.7273 0.7273 0.4092  1 Pb 2.94
Br 0.9066 0.4205 0.7969  2 Pb 3.00



# 4
CsRuPbBr6 | PBE | relaxed

Output
* SG: P312 (149)
* calculated density: 4.1 Mg/m³
* ΔE_f (raw): -0.7980 eV per atom

a b c (Å): 7.3947 7.3947 7.8224
angles (deg): 90.00 90.00 120.00
Closest atoms and distances in Å follow each position.
Atoms (fractional coordinates):
Cs 0.0000 0.0000 0.0000  6 Br 3.66
Ru 0.6667 0.3333 0.5000  6 Br 2.54
Pb 0.3333 0.6667 0.5000  6 Br 3.04
Br 0.3935 0.0511 0.6900  1 Ru 2.54
Br 0.3935 0.3424 0.3100  1 Ru 2.54
Br 0.6576 0.0511 0.3100  1 Ru 2.54
Br 0.6576 0.6065 0.6900  1 Ru 2.54
Br 0.9489 0.3424 0.6900  1 Ru 2.54
Br 0.9489 0.6065 0.3100  1 Ru 2.54



# 5
CsScPb2Br8 | PBE | relaxed

Output
* SG: P-1 (2)
* calculated density: 4.3 Mg/m³
* ΔE_f (raw): -1.3426 eV per atom

a b c (Å): 7.5105 7.5946 8.4705
angles (deg): 89.98 77.31 88.63
Closest atoms and distances in Å follow each position.
Atoms (fractional coordinates):
Cs 0.0000 0.0000 0.0000  8 Br 3.72-4.16
Sc 0.5000 0.0000 0.5000  6 Br 2.66-2.68
Pb 0.4875 0.4590 0.2599  5 Br 2.87-3.15
Pb 0.5125 0.5410 0.7401  5 Br 2.87-3.15
Br 0.2406 0.5678 0.0369  2 Pb 2.87-3.03
Br 0.2479 0.7518 0.5675  1 Sc 2.68
Br 0.2642 0.2464 0.6497  1 Sc 2.66
Br 0.3970 0.0793 0.2240  1 Sc 2.68
Br 0.6030 0.9207 0.7760  1 Sc 2.68
Br 0.7358 0.7536 0.3503  1 Sc 2.66
Br 0.7521 0.2482 0.4325  1 Sc 2.68
Br 0.7594 0.4322 0.9631  2 Pb 2.87-3.03



# 6
Cs2ScPbBr6 | PBE | relaxed

Output
* SG: P-1 (2)
* calculated density: 4.2 Mg/m³
* ΔE_f (raw): -1.4603 eV per atom

a b c (Å): 7.8060 7.8075 8.4728
angles (deg): 116.85 117.03 90.00
Closest atoms and distances in Å follow each position.
Atoms (fractional coordinates):
Cs 0.2492 0.2484 0.4995  8 Br 3.79-3.97
Cs 0.7508 0.7516 0.5005  8 Br 3.79-3.97
Sc 0.0000 0.5000 0.0000  6 Br 2.69
Pb 0.5000 0.0000 0.0000  4 Br 3.05-3.06
Br 0.1588 0.1939 0.9954  1 Sc 2.69
Br 0.2085 0.7024 0.4133  1 Sc 2.69
Br 0.3027 0.6596 0.9964  1 Sc 2.69
Br 0.6973 0.3404 0.0036  1 Sc 2.69
Br 0.7915 0.2976 0.5867  1 Sc 2.69
Br 0.8412 0.8061 0.0046  1 Sc 2.69



# 7
CsPbSeBr6 | PBE | relaxed

Output
* SG: P1 (1)
* calculated density: 4.1 Mg/m³
* ΔE_f (raw): -0.7178 eV per atom

a b c (Å): 7.1495 7.4234 7.6945
angles (deg): 67.71 87.12 75.01
Closest atoms and distances in Å follow each position.
Atoms (fractional coordinates):
Cs 0.0000 0.0000 0.0000  8 Br 3.64-4.05
Pb 0.6450 0.4650 0.2918  3 Br 2.78-2.93
Se 0.6331 0.8132 0.6384  4 Br 2.49-2.71
Br 0.4207 0.6050 0.8503  1 Se 2.53
Br 0.4281 0.1291 0.6613  1 Se 2.49
Br 0.4936 0.8945 0.2202  1 Pb 2.93, 1 Se 3.20
Br 0.8649 0.4836 0.5922  1 Se 2.71, 1 Pb 2.92
Br 0.9012 0.0028 0.4854  1 Se 2.64
Br 0.9676 0.4950 0.0755  1 Pb 2.78



# 8
Cs2SiPbBr6 | PBE | relaxed

Output
* SG: Fm-3m (225)
* calculated density: 4.3 Mg/m³
* ΔE_f (raw): -1.1160 eV per atom

a b c (Å): 8.1122 8.1122 8.1122
angles (deg): 60.00 60.00 60.00
Closest atoms and distances in Å follow each position.
Atoms (fractional coordinates):
Cs 0.2500 0.2500 0.2500  12 Br 4.06
Cs 0.7500 0.7500 0.7500  12 Br 4.06
Si 0.0000 0.0000 0.0000  6 Br 2.73
Pb 0.5000 0.5000 0.5000  6 Br 3.01
Br 0.2376 0.2376 0.7624  1 Si 2.73, 1 Pb 3.01
Br 0.2376 0.7624 0.2376  1 Si 2.73, 1 Pb 3.01
Br 0.2376 0.7624 0.7624  1 Si 2.73, 1 Pb 3.01
Br 0.7624 0.2376 0.2376  1 Si 2.73, 1 Pb 3.01
Br 0.7624 0.2376 0.7624  1 Si 2.73, 1 Pb 3.01
Br 0.7624 0.7624 0.2376  1 Si 2.73, 1 Pb 3.01



# 9
Cs2SmPbBr6 | PBE | relaxed

Output
* SG: Fm-3m (225)
* calculated density: 4.2 Mg/m³
* ΔE_f (raw): -1.4793 eV per atom

a b c (Å): 8.5149 8.5149 8.5149
angles (deg): 60.00 60.00 60.00
Closest atoms and distances in Å follow each position.
Atoms (fractional coordinates):
Cs 0.2500 0.2500 0.2500  12 Br 4.26
Cs 0.7500 0.7500 0.7500  12 Br 4.26
Sm 0.0000 0.0000 0.0000  6 Br 2.87
Pb 0.5000 0.5000 0.5000  6 Br 3.15
Br 0.2384 0.2384 0.7616  1 Sm 2.87, 1 Pb 3.15
Br 0.2384 0.7616 0.2384  1 Sm 2.87, 1 Pb 3.15
Br 0.2384 0.7616 0.7616  1 Sm 2.87, 1 Pb 3.15
Br 0.7616 0.2384 0.2384  1 Sm 2.87, 1 Pb 3.15
Br 0.7616 0.2384 0.7616  1 Sm 2.87, 1 Pb 3.15
Br 0.7616 0.7616 0.2384  1 Sm 2.87, 1 Pb 3.15



# 10
CsSmPbBr6 | PBE | relaxed

Output
* SG: P312 (149)
* calculated density: 3.9 Mg/m³
* ΔE_f (raw): -1.5785 eV per atom

a b c (Å): 7.7824 7.7824 7.8753
angles (deg): 90.00 90.00 120.00
Closest atoms and distances in Å follow each position.
Atoms (fractional coordinates):
Cs 0.0000 0.0000 0.0000  6 Br 3.70
Sm 0.6667 0.3333 0.5000  6 Br 2.88
Pb 0.3333 0.6667 0.5000  6 Br 3.06
Br 0.3860 0.0171 0.7144  1 Sm 2.88, 1 Pb 3.06
Br 0.3860 0.3689 0.2856  1 Sm 2.88, 1 Pb 3.06
Br 0.6311 0.0171 0.2856  1 Sm 2.88, 1 Pb 3.06
Br 0.6311 0.6140 0.7144  1 Sm 2.88, 1 Pb 3.06
Br 0.9829 0.3689 0.7144  1 Sm 2.88, 1 Pb 3.06
Br 0.9829 0.6140 0.2856  1 Sm 2.88, 1 Pb 3.06



# 11
CsSmPb2Br8 | PBE | relaxed

Output
* SG: P-1 (2)
* calculated density: 4.5 Mg/m³
* ΔE_f (raw): -1.3520 eV per atom

a b c (Å): 6.9912 7.3320 9.5612
angles (deg): 89.63 89.57 88.86
Closest atoms and distances in Å follow each position.
Atoms (fractional coordinates):
Cs 0.0000 0.0000 0.0000  6 Br 3.48
Sm 0.0000 0.0000 0.5000  6 Br 2.87-2.93
Pb 0.4989 0.4996 0.2496  6 Br 2.98-3.31
Pb 0.5011 0.5004 0.7504  6 Br 2.98-3.31
Br 0.2433 0.3215 0.4993  1 Sm 2.93, 1 Pb 3.25
Br 0.2478 0.8409 0.7068  1 Sm 2.87, 1 Pb 3.06
Br 0.2497 0.8429 0.2922  1 Sm 2.87, 1 Pb 3.06
Br 0.2683 0.3951 0.0028  2 Pb 2.98-3.01
Br 0.7317 0.6049 0.9972  2 Pb 2.98-3.01
Br 0.7503 0.1571 0.7078  1 Sm 2.87, 1 Pb 3.06
Br 0.7522 0.1591 0.2932  1 Sm 2.87, 1 Pb 3.06
Br 0.7567 0.6785 0.5007  1 Sm 2.93, 1 Pb 3.25



# 12
Cs4Sn3PbBr12 | PBE | relaxed

Output
* SG: Im-3m (229)
* calculated density: 4.1 Mg/m³
* ΔE_f (raw): -1.2376 eV per atom

a b c (Å): 10.2451 10.2451 10.2451
angles (deg): 109.47 109.47 109.47
Closest atoms and distances in Å follow each position.
Atoms (fractional coordinates):
Cs 0.0000 0.0000 0.5000  12 Br 4.18
Cs 0.0000 0.5000 0.0000  12 Br 4.18
Cs 0.5000 0.0000 0.0000  12 Br 4.18
Cs 0.5000 0.5000 0.5000  12 Br 4.18
Sn 0.0000 0.5000 0.5000  6 Br 2.92-2.96
Sn 0.5000 0.0000 0.5000  6 Br 2.92-2.96
Sn 0.5000 0.5000 0.0000  6 Br 2.92-2.96
Pb 0.0000 0.0000 0.0000  6 Br 2.99
Br 0.0000 0.2528 0.2528  1 Sn 2.92, 1 Pb 2.99
Br 0.0000 0.7472 0.7472  1 Sn 2.92, 1 Pb 2.99
Br 0.2500 0.5000 0.7500  2 Sn 2.96
Br 0.2500 0.7500 0.5000  2 Sn 2.96
Br 0.2528 0.0000 0.2528  1 Sn 2.92, 1 Pb 2.99
Br 0.2528 0.2528 0.0000  1 Sn 2.92, 1 Pb 2.99
Br 0.5000 0.2500 0.7500  2 Sn 2.96
Br 0.5000 0.7500 0.2500  2 Sn 2.96
Br 0.7472 0.0000 0.7472  1 Sn 2.92, 1 Pb 2.99
Br 0.7472 0.7472 0.0000  1 Sn 2.92, 1 Pb 2.99
Br 0.7500 0.2500 0.5000  2 Sn 2.96
Br 0.7500 0.5000 0.2500  2 Sn 2.96